[1]
Compound: KMg3S
Source: Alexandria
Functional: SCAN
Structure: PBEsol geometry

Geometry as POSCAR:
```
KMg3S
1.0
5.2237 0.0000 0.0000
0.0000 5.2237 0.0000
0.0000 0.0000 5.2237
Mg S K
3 1 1
Cartesian
0.0000 2.6118 0.0000
2.6118 0.0000 0.0000
0.0000 0.0000 2.6118
0.0000 0.0000 0.0000
2.6118 2.6118 2.6118
```

Properties
- SG = Pm-3m
- formation energy without anion corrections (eV per atom) = -0.01
- E_tot (eV/f.u.) = -32.91

---

[2]
Compound: NaZrN2F
Source: Alexandria
Functional: SCAN
Structure: PBEsol geometry

Geometry as POSCAR:
```
NaZrN2F
1.0
-1.3540 3.7901 -1.0162
-3.6729 -1.6025 -1.0828
-1.4184 0.5607 3.9815
N Na F Zr
2 1 1 1
Cartesian
-1.8365 -0.8012 -0.5414
-0.6770 1.8950 -0.5081
-3.2227 1.3742 0.9413
-0.7092 0.2804 1.9907
0.0000 0.0000 0.0000
```

Properties
- SG = P4/mmm
- formation energy without anion corrections (eV per atom) = -1.12
- E_tot (eV/f.u.) = -62.62